Ba2H2Se | PBE | optimized geometry

## Properties
crystal system = trigonal
energy relative to the lowest polymorph listed for this composition = 0.00 eV per formula unit
density of states at the Fermi level = 0.0 states/eV/f.u.

extended XYZ file:
```
5
Lattice="4.612 0.000 0.000 -2.306 3.994 0.000 0.000 0.000 7.508" Properties=species:S:1:pos:R:3 pbc="T T T"
Ba 0.000 2.663 1.819
Ba 2.306 1.331 5.689
H 0.000 2.663 6.609
H 2.306 1.331 0.899
Se 0.000 0.000 3.754
```

Al2Cu2Bi2S3Cl8 | PBE | optimized geometry

## Properties
crystal system = hexagonal
ΔE_f (raw) = -0.987 eV/atom

extended XYZ file:
```
34
Lattice="6.598 0.000 0.000 -3.299 5.714 0.000 0.000 0.000 25.877" Properties=species:S:1:pos:R:3 pbc="T T T"
Al 0.000 3.809 2.217
Al 0.000 3.809 10.722
Al 3.299 1.905 15.156
Al 3.299 1.905 23.660
Cu 0.000 0.000 6.469
Cu 0.000 0.000 19.408
Cu 0.000 3.809 6.469
Cu 3.299 1.905 19.408
Bi 0.000 3.809 17.674
Bi 0.000 3.809 21.143
Bi 3.299 1.905 4.735
Bi 3.299 1.905 8.204
S -1.046 1.993 19.408
S -1.050 5.623 19.408
S 1.203 1.902 6.469
S 2.096 3.812 19.408
S 4.349 0.091 6.469
S 4.345 3.721 6.469
Cl -0.766 1.943 3.064
Cl -0.766 1.943 9.875
Cl -1.233 5.406 3.064
Cl -1.233 5.406 9.875
Cl 0.000 3.809 0.125
Cl 0.000 3.809 12.814
Cl 1.300 1.635 16.003
Cl 1.300 1.635 22.813
Cl 1.999 4.079 3.064
Cl 1.999 4.079 9.875
Cl 3.299 1.905 13.063
Cl 3.299 1.905 25.753
Cl 4.532 0.308 16.003
Cl 4.532 0.308 22.813
Cl 4.065 3.771 16.003
Cl 4.065 3.771 22.813
```

AgBRu3 | PBE | optimized geometry

## Properties
crystal system = cubic
energy relative to the lowest polymorph listed for this composition = 13.94 eV per formula unit
density of states at the Fermi level = 6.5 states/eV/f.u.
ΔH_f (0 K) = 15.85 eV/f.u.

extended XYZ file:
```
5
Lattice="4.812 0.000 0.000 0.000 4.812 0.000 0.000 0.000 4.812" Properties=species:S:1:pos:R:3 pbc="T T T"
Ag 0.000 0.000 0.000
B 2.406 2.406 2.406
Ru 0.000 0.000 2.406
Ru 0.000 2.406 0.000
Ru 2.406 0.000 0.000
```

TaCrW2 | PBE | optimized geometry

## Properties
crystal system = cubic
energy relative to the lowest polymorph listed for this composition = 0.28 eV per formula unit
density of states at the Fermi level = 1.7 states/eV/f.u.
ΔH_f (0 K) = 0.15 eV/f.u.

extended XYZ file:
```
4
Lattice="0.000 3.144 3.144 3.144 0.000 3.144 3.144 3.144 0.000" Properties=species:S:1:pos:R:3 pbc="T T T"
Ta 0.000 0.000 0.000
Cr 3.144 3.144 3.144
W 1.572 1.572 1.572
W 4.717 4.717 4.717
```

CaTe2Rh | PBE | optimized geometry

## Properties
crystal system = trigonal
energy relative to the lowest polymorph listed for this composition = 0.00 eV per formula unit
density of states at the Fermi level = 2.4 states/eV/f.u.
ΔE_f (raw) = -0.814 eV/atom

extended XYZ file:
```
4
Lattice="4.186 0.000 0.000 -2.093 3.625 0.000 0.000 0.000 6.746" Properties=species:S:1:pos:R:3 pbc="T T T"
Ca 0.000 0.000 0.000
Te 0.000 2.417 2.059
Te 2.093 1.208 4.687
Rh 0.000 0.000 3.373
```

Li2CaIrN | PBE | optimized geometry

## Properties
crystal system = tetragonal
density of states at the Fermi level = 3.1 states/eV/f.u.
ΔE_f (raw) = -0.207 eV/atom

extended XYZ file:
```
5
Lattice="4.374 0.000 0.000 0.000 4.374 0.000 0.000 0.000 3.930" Properties=species:S:1:pos:R:3 pbc="T T T"
Li 0.000 2.187 0.000
Li 2.187 0.000 0.000
Ca 0.000 0.000 1.965
Ir 2.187 2.187 1.965
N 2.187 2.187 0.000
```

LiCaGaPt | PBE | optimized geometry

## Properties
crystal system = monoclinic
energy relative to the lowest polymorph listed for this composition = 0.00 eV per formula unit
density of states at the Fermi level = 2.6 states/eV/f.u.
ΔH_f (0 K) = -2.83 eV/f.u.

extended XYZ file:
```
4
Lattice="3.832 -2.215 0.000 3.832 2.215 0.000 -2.583 0.000 4.824" Properties=species:S:1:pos:R:3 pbc="T T T"
Li 0.000 0.000 0.000
Ca 5.094 0.000 1.977
Ga -0.024 0.000 3.988
Pt 2.532 0.000 3.846
```

CoPbBr2 | PBE | optimized geometry

## Properties
crystal system = tetragonal
energy relative to the lowest polymorph listed for this composition = 2.15 eV per formula unit
density of states at the Fermi level = 6.2 states/eV/f.u.
ΔE_f (raw) = 0.356 eV/atom

extended XYZ file:
```
4
Lattice="-2.126 2.126 5.747 2.126 -2.126 5.747 2.126 2.126 -5.747" Properties=species:S:1:pos:R:3 pbc="T T T"
Co 0.000 0.000 0.000
Pb 2.126 0.000 2.874
Br 0.000 0.000 5.747
Br 0.000 2.126 2.874
```

no.,volume (Å³/cell)
1,138.3
2,975.6
3,111.4
4,62.2
5,102.4
6,75.2
7,81.9
8,103.9